[1]
{"formula": "ScCdOs2", "functional": "PBE-GGA", "state": "relaxed", "delta_e_f_mev_per_atom": 289, "magnetic_moment_mub_per_cell": 0.00, "lattice": [[-1.5477, 2.3408, 4.6332], [1.5477, -2.3408, 4.6332], [1.5477, 2.3408, -4.6332]], "species": ["Sc", "Cd", "Os", "Os"], "frac_coords": [[0.0000, 0.0000, 0.0000], [0.5000, 0.5000, 0.0000], [0.2391, 0.7391, 0.5000], [0.7609, 0.2609, 0.5000]]}

[2]
{"formula": "ScCdOs4", "functional": "PBE-GGA", "state": "relaxed", "delta_e_f_mev_per_atom": 156, "magnetic_moment_mub_per_cell": 0.00, "lattice": [[0.0000, 3.7042, 3.7042], [3.7042, 0.0000, 3.7042], [3.7042, 3.7042, 0.0000]], "species": ["Sc", "Cd", "Os", "Os", "Os", "Os"], "frac_coords": [[0.0000, 0.0000, 0.0000], [0.7500, 0.7500, 0.7500], [0.3750, 0.3750, 0.3750], [0.3750, 0.3750, 0.8750], [0.3750, 0.8750, 0.3750], [0.8750, 0.3750, 0.3750]]}

no.,calculated volume (Å³ per cell)
1,67.14
2,101.65